# 1
Material: NbSnBr2
Method: DFT, GGA-PBE
State: optimized geometry

a = 4.998 Å, b = 4.998 Å, c = 4.998 Å
α = 60.00°, β = 60.00°, γ = 60.00°
Fractional coordinates of all 4 atoms:
Nb 0.000 0.000 0.000
Sn 0.500 0.500 0.500
Br 0.250 0.250 0.250
Br 0.750 0.750 0.750

Computed properties:
Spin magnetization ... 0.001 μB per formula unit
Space-group type ... Fm-3m, No. 225
E above lowest polymorph ... 0.710 eV/atom

---

# 2
Material: Cd2TcBr
Method: DFT, GGA-PBE
State: optimized geometry

a = 9.107 Å, b = 9.107 Å, c = 9.107 Å
α = 20.96°, β = 20.96°, γ = 20.96°
Each line ends with the local moment (μB).
Fractional coordinates of all 4 atoms:
Tc 0.250 0.250 0.250  1.03
Br 0.750 0.750 0.750  -0.01
Cd 0.996 0.996 0.996  -0.01
Cd 0.504 0.504 0.504  -0.01

Computed properties:
Spin magnetization ... 1.080 μB per formula unit
Space-group type ... R-3m, No. 166
E above lowest polymorph ... 0.120 eV/atom

---

Values for raw formation energy, eV per atom, ordered as above
0.41; 0.36